*a*
CdSb2MoI: relaxed, PBE-GGA.

a = 5.4652 Å, b = 5.4652 Å, c = 5.9075 Å
α = 90.00°, β = 90.00°, γ = 90.00°
Positions (direct):
I  0.0000  0.0000  0.5000
Sb  0.0000  0.5000  0.0000
Sb  0.5000  0.0000  0.0000
Mo  0.5000  0.5000  0.5000
Cd  0.0000  0.0000  0.0000

Space-group type: P4/mmm, No. 123
Crystal system: tetragonal

*b*
CdSb2MoI: relaxed, PBE-GGA.

a = 5.1907 Å, b = 5.1907 Å, c = 5.9570 Å
α = 90.00°, β = 90.00°, γ = 90.00°
Positions (direct):
I  0.0000  0.0000  0.5000
Sb  0.0000  0.5000  0.0000
Sb  0.5000  0.0000  0.0000
Mo  0.0000  0.0000  0.0000
Cd  0.5000  0.5000  0.5000

Space-group type: P4/mmm, No. 123
Crystal system: tetragonal

Winner for stability: *b*

*a*
Cd3IN: relaxed, PBE-GGA.

a = 4.9028 Å, b = 4.9028 Å, c = 4.9028 Å
α = 90.00°, β = 90.00°, γ = 90.00°
Positions (direct):
I  0.5000  0.5000  0.5000
N  0.0000  0.0000  0.0000
Cd  0.0000  0.5000  0.0000
Cd  0.0000  0.0000  0.5000
Cd  0.5000  0.0000  0.0000

Space-group type: Pm-3m, No. 221
Crystal system: cubic

*b*
Cd3IN: relaxed, PBE-GGA.

a = 6.0310 Å, b = 6.0310 Å, c = 6.0310 Å
α = 90.00°, β = 90.00°, γ = 90.00°
Positions (direct):
I  0.0000  0.0000  0.0000
N  0.5000  0.5000  0.5000
Cd  0.0000  0.5000  0.0000
Cd  0.0000  0.0000  0.5000
Cd  0.5000  0.0000  0.0000

Space-group type: Pm-3m, No. 221
Crystal system: cubic

Winner for stability: *a*

*a*
CdI2N2: relaxed, PBE-GGA.

a = 4.6162 Å, b = 4.6162 Å, c = 6.6640 Å
α = 90.00°, β = 90.00°, γ = 90.00°
Positions (direct):
I  0.5000  0.5000  0.5000
I  0.0000  0.0000  0.5000
N  0.0000  0.5000  0.0000
N  0.5000  0.0000  0.0000
Cd  0.0000  0.0000  0.0000

Space-group type: P4/mmm, No. 123
Crystal system: tetragonal

*b*
CdI2N2: relaxed, PBE-GGA.

a = 4.3155 Å, b = 4.3251 Å, c = 11.6022 Å
α = 87.71°, β = 90.00°, γ = 119.93°
Positions (direct):
Cd  0.0000  0.0000  0.0000
I  0.6560  0.3121  0.1490
I  0.3440  0.6879  0.8510
N  0.9462  0.8925  0.4684
N  0.0538  0.1075  0.5316

Space-group type: C2/m, No. 12
Crystal system: monoclinic

*c*
CdI2N2: relaxed, PBE-GGA.

a = 5.2970 Å, b = 5.2970 Å, c = 3.7908 Å
α = 90.00°, β = 90.00°, γ = 90.00°
Positions (direct):
I  0.0000  0.5000  0.0000
I  0.5000  0.0000  0.0000
N  0.0000  0.0000  0.0000
N  0.0000  0.0000  0.5000
Cd  0.5000  0.5000  0.5000

Space-group type: P4/mmm, No. 123
Crystal system: tetragonal

*d*
CdI2N2: relaxed, PBE-GGA.

a = 4.2239 Å, b = 4.2239 Å, c = 8.0016 Å
α = 90.00°, β = 90.00°, γ = 90.00°
Positions (direct):
I  0.0000  0.0000  0.0000
I  0.0000  0.0000  0.5000
N  0.0000  0.5000  0.0000
N  0.5000  0.0000  0.0000
Cd  0.5000  0.5000  0.5000

Space-group type: P4/mmm, No. 123
Crystal system: tetragonal

Winner for stability: *b*

*a*
CdI3N2: relaxed, PBE-GGA.

a = 7.5445 Å, b = 8.2088 Å, c = 14.2443 Å
α = 90.00°, β = 90.00°, γ = 90.00°
Positions (direct):
Cd  0.2372  0.0000  0.3414
Cd  0.7628  0.0000  0.8414
Cd  0.1186  0.5000  0.3554
Cd  0.8814  0.5000  0.8554
I  0.2951  0.5000  0.8297
I  0.7049  0.5000  0.3297
I  0.7831  0.0000  0.2866
I  0.2169  0.0000  0.7866
I  0.1255  0.0000  0.5220
I  0.8745  0.0000  0.0220
I  0.3767  0.5000  0.4962
I  0.6233  0.5000  0.9962
I  0.2993  0.2607  0.2223
I  0.7007  0.7393  0.7223
I  0.7007  0.2607  0.7223
I  0.2993  0.7393  0.2223
N  0.1367  0.3227  0.8463
N  0.8633  0.6773  0.3463
N  0.8633  0.3227  0.3463
N  0.1367  0.6773  0.8463
N  0.7319  0.1794  0.1915
N  0.2681  0.8206  0.6915
N  0.2681  0.1794  0.6915
N  0.7319  0.8206  0.1915

Space-group type: Pmc2_1, No. 26
Crystal system: orthorhombic

*b*
CdI3N2: relaxed, PBE-GGA.

a = 7.0253 Å, b = 16.7727 Å, c = 5.5103 Å
α = 86.46°, β = 36.06°, γ = 90.51°
Positions (direct):
Cd  0.8976  0.7692  0.9579
Cd  0.1024  0.2308  0.0421
I  0.5776  0.2864  0.0312
I  0.4224  0.7136  0.9688
I  0.0628  0.0780  0.8073
I  0.8592  0.4229  0.2334
I  0.1408  0.5771  0.7666
I  0.9372  0.9220  0.1927
N  0.8491  0.7664  0.4308
N  0.6104  0.2626  0.6510
N  0.3896  0.7374  0.3490
N  0.1509  0.2336  0.5692

Space-group type: P-1, No. 2
Crystal system: triclinic

Winner for stability: *b*

*a*
NaCdIN2: relaxed, PBE-GGA.

a = 4.4928 Å, b = 4.4928 Å, c = 6.5667 Å
α = 90.00°, β = 90.00°, γ = 90.00°
Positions (direct):
I  0.0000  0.0000  0.5000
Na  0.5000  0.5000  0.5000
N  0.0000  0.5000  0.0000
N  0.5000  0.0000  0.0000
Cd  0.0000  0.0000  0.0000

Space-group type: P4/mmm, No. 123
Crystal system: tetragonal

*b*
NaCdIN2: relaxed, PBE-GGA.

a = 4.6678 Å, b = 4.6678 Å, c = 6.5257 Å
α = 90.00°, β = 90.00°, γ = 90.00°
Positions (direct):
I  0.0000  0.0000  0.5000
Na  0.0000  0.0000  0.0000
N  0.0000  0.5000  0.0000
N  0.5000  0.0000  0.0000
Cd  0.5000  0.5000  0.5000

Space-group type: P4/mmm, No. 123
Crystal system: tetragonal

Winner for stability: *a*

*a*
NbCdI2N: relaxed, PBE-GGA.

a = 5.9356 Å, b = 5.9356 Å, c = 4.0233 Å
α = 90.00°, β = 90.00°, γ = 90.00°
Positions (direct):
I  0.0000  0.5000  0.0000
I  0.5000  0.0000  0.0000
Nb  0.5000  0.5000  0.5000
N  0.0000  0.0000  0.5000
Cd  0.0000  0.0000  0.0000

Space-group type: P4/mmm, No. 123
Crystal system: tetragonal

*b*
NbCdI2N: relaxed, PBE-GGA.

a = 5.7978 Å, b = 5.7978 Å, c = 3.9557 Å
α = 90.00°, β = 90.00°, γ = 90.00°
Positions (direct):
I  0.0000  0.5000  0.0000
I  0.5000  0.0000  0.0000
Nb  0.0000  0.0000  0.0000
N  0.0000  0.0000  0.5000
Cd  0.5000  0.5000  0.5000

Space-group type: P4/mmm, No. 123
Crystal system: tetragonal

Winner for stability: *b*

*a*
NbCdIN2: relaxed, PBE-GGA.

a = 4.1818 Å, b = 4.1818 Å, c = 5.6508 Å
α = 90.00°, β = 90.00°, γ = 90.00°
Positions (direct):
I  0.0000  0.0000  0.5000
Nb  0.5000  0.5000  0.5000
N  0.0000  0.5000  0.0000
N  0.5000  0.0000  0.0000
Cd  0.0000  0.0000  0.0000

Space-group type: P4/mmm, No. 123
Crystal system: tetragonal

*b*
NbCdIN2: relaxed, PBE-GGA.

a = 4.1291 Å, b = 4.1291 Å, c = 5.9141 Å
α = 90.00°, β = 90.00°, γ = 90.00°
Positions (direct):
I  0.0000  0.0000  0.5000
Nb  0.0000  0.0000  0.0000
N  0.0000  0.5000  0.0000
N  0.5000  0.0000  0.0000
Cd  0.5000  0.5000  0.5000

Space-group type: P4/mmm, No. 123
Crystal system: tetragonal

Winner for stability: *b*

*a*
CdNiI2N: relaxed, PBE-GGA.

a = 5.9819 Å, b = 5.9819 Å, c = 4.2286 Å
α = 90.00°, β = 90.00°, γ = 90.00°
Positions (direct):
I  0.0000  0.5000  0.0000
I  0.5000  0.0000  0.0000
Ni  0.5000  0.5000  0.5000
N  0.0000  0.0000  0.5000
Cd  0.0000  0.0000  0.0000

Space-group type: P4/mmm, No. 123
Crystal system: tetragonal

*b*
CdNiI2N: relaxed, PBE-GGA.

a = 5.6439 Å, b = 5.6439 Å, c = 3.5734 Å
α = 90.00°, β = 90.00°, γ = 90.00°
Positions (direct):
I  0.0000  0.5000  0.0000
I  0.5000  0.0000  0.0000
Ni  0.0000  0.0000  0.0000
N  0.0000  0.0000  0.5000
Cd  0.5000  0.5000  0.5000

Space-group type: P4/mmm, No. 123
Crystal system: tetragonal

Winner for stability: *b*

*a*
CdI2NO: relaxed, PBE-GGA.

a = 5.2401 Å, b = 5.2401 Å, c = 4.0487 Å
α = 90.00°, β = 90.00°, γ = 90.00°
Positions (direct):
I  0.0000  0.5000  0.0000
I  0.5000  0.0000  0.0000
N  0.0000  0.0000  0.5000
O  0.0000  0.0000  0.0000
Cd  0.5000  0.5000  0.5000

Space-group type: P4/mmm, No. 123
Crystal system: tetragonal

*b*
CdI2NO: relaxed, PBE-GGA.

a = 6.2432 Å, b = 6.2432 Å, c = 4.0935 Å
α = 90.00°, β = 90.00°, γ = 90.00°
Positions (direct):
I  0.0000  0.5000  0.0000
I  0.5000  0.0000  0.0000
N  0.5000  0.5000  0.5000
O  0.0000  0.0000  0.5000
Cd  0.0000  0.0000  0.0000

Space-group type: P4/mmm, No. 123
Crystal system: tetragonal

*c*
CdI2NO: relaxed, PBE-GGA.

a = 5.1727 Å, b = 5.1727 Å, c = 3.7704 Å
α = 90.00°, β = 90.00°, γ = 90.00°
Positions (direct):
I  0.0000  0.5000  0.0000
I  0.5000  0.0000  0.0000
N  0.0000  0.0000  0.0000
O  0.0000  0.0000  0.5000
Cd  0.5000  0.5000  0.5000

Space-group type: P4/mmm, No. 123
Crystal system: tetragonal

Winner for stability: *c*

*a*
CdPIN2: relaxed, PBE-GGA.

a = 3.7884 Å, b = 3.7884 Å, c = 6.8089 Å
α = 90.00°, β = 90.00°, γ = 90.00°
Positions (direct):
I  0.0000  0.0000  0.5000
P  0.0000  0.0000  0.0000
N  0.0000  0.5000  0.0000
N  0.5000  0.0000  0.0000
Cd  0.5000  0.5000  0.5000

Space-group type: P4/mmm, No. 123
Crystal system: tetragonal

*b*
CdPIN2: relaxed, PBE-GGA.

a = 4.2456 Å, b = 4.2456 Å, c = 6.9633 Å
α = 90.00°, β = 90.00°, γ = 90.00°
Positions (direct):
I  0.0000  0.0000  0.5000
P  0.5000  0.5000  0.5000
N  0.0000  0.5000  0.0000
N  0.5000  0.0000  0.0000
Cd  0.0000  0.0000  0.0000

Space-group type: P4/mmm, No. 123
Crystal system: tetragonal

Winner for stability: *a*

*a*
CdPbI2N: relaxed, PBE-GGA.

a = 6.3553 Å, b = 6.3553 Å, c = 4.3457 Å
α = 90.00°, β = 90.00°, γ = 90.00°
Positions (direct):
Pb  0.0000  0.0000  0.0000
I  0.0000  0.5000  0.0000
I  0.5000  0.0000  0.0000
N  0.0000  0.0000  0.5000
Cd  0.5000  0.5000  0.5000

Space-group type: P4/mmm, No. 123
Crystal system: tetragonal

*b*
CdPbI2N: relaxed, PBE-GGA.

a = 6.1788 Å, b = 6.1788 Å, c = 4.1792 Å
α = 90.00°, β = 90.00°, γ = 90.00°
Positions (direct):
Pb  0.5000  0.5000  0.5000
I  0.0000  0.5000  0.0000
I  0.5000  0.0000  0.0000
N  0.0000  0.0000  0.5000
Cd  0.0000  0.0000  0.0000

Space-group type: P4/mmm, No. 123
Crystal system: tetragonal

Winner for stability: *b*

*a*
CdPdIN2: relaxed, PBE-GGA.

a = 4.2226 Å, b = 4.2226 Å, c = 6.6387 Å
α = 90.00°, β = 90.00°, γ = 90.00°
Positions (direct):
I  0.0000  0.0000  0.5000
N  0.0000  0.5000  0.0000
N  0.5000  0.0000  0.0000
Pd  0.5000  0.5000  0.5000
Cd  0.0000  0.0000  0.0000

Space-group type: P4/mmm, No. 123
Crystal system: tetragonal

*b*
CdPdIN2: relaxed, PBE-GGA.

a = 3.9790 Å, b = 3.9790 Å, c = 7.5149 Å
α = 90.00°, β = 90.00°, γ = 90.00°
Positions (direct):
I  0.0000  0.0000  0.5000
N  0.0000  0.5000  0.0000
N  0.5000  0.0000  0.0000
Pd  0.0000  0.0000  0.0000
Cd  0.5000  0.5000  0.5000

Space-group type: P4/mmm, No. 123
Crystal system: tetragonal

Winner for stability: *b*